<A>
Mg3ZnFe: relaxed, PBE.

Unit cell a=4.904 b=4.904 c=4.904 alpha=90.00 beta=90.00 gamma=90.00
Site moments in Bohr magnetons follow the coordinates.
Positions (direct):
1 Mg 0.000 0.500 0.000  -0.01
2 Mg 0.000 0.000 0.500  -0.01
3 Mg 0.500 0.000 0.000  -0.02
4 Zn 0.500 0.500 0.500  0.01
5 Fe 0.000 0.000 0.000  1.96



<B>
Mg3ZnFe: relaxed, PBE.

Unit cell a=4.881 b=4.881 c=4.881 alpha=90.00 beta=90.00 gamma=90.00
Site moments in Bohr magnetons follow the coordinates.
Positions (direct):
1 Mg 0.000 0.500 0.000  -0.01
2 Mg 0.000 0.000 0.500  0.00
3 Mg 0.500 0.000 0.000  0.00
4 Zn 0.000 0.000 0.000  0.05
5 Fe 0.500 0.500 0.500  3.16



Energy ordering: <A> at the bottom, the next structure 7.1 kJ/mol of atoms above.



<A>
MgZrFe: relaxed, PBE.

Unit cell a=4.344 b=4.344 c=4.344 alpha=60.00 beta=60.00 gamma=60.00
Site moments in Bohr magnetons follow the coordinates.
Positions (direct):
1 Fe 0.750 0.750 0.750  0.10
2 Mg 0.000 0.000 0.000  0.00
3 Zr 0.500 0.500 0.500  -0.04



<B>
MgZrFe: relaxed, PBE.

Unit cell a=3.113 b=4.603 c=7.603 alpha=90.00 beta=101.81 gamma=90.00
Positions (direct):
1 Fe 0.436 0.250 0.872
2 Fe 0.564 0.750 0.128
3 Zr 0.924 0.750 0.848
4 Zr 0.076 0.250 0.152
5 Mg 0.785 0.250 0.570
6 Mg 0.215 0.750 0.430



<C>
MgZrFe: relaxed, PBE.

Unit cell a=4.602 b=4.602 c=2.870 alpha=90.00 beta=90.00 gamma=120.00
Site moments in Bohr magnetons follow the coordinates.
Positions (direct):
1 Fe 0.000 0.000 0.016  1.75
2 Mg 0.667 0.333 0.271  -0.02
3 Zr 0.333 0.667 0.713  -0.42



<D>
MgZrFe: relaxed, PBE.

Unit cell a=5.809 b=5.809 c=5.809 alpha=148.24 beta=148.24 gamma=45.53
Positions (direct):
1 Fe 0.010 0.010 0.000
2 Mg 0.356 0.356 0.000
3 Zr 0.633 0.633 0.000



Energy ordering: <B> at the bottom, the next structure 6.0 kJ/mol of atoms above.



<A>
Mn13Fe2: relaxed, PBE.

Unit cell a=6.631 b=5.577 c=6.629 alpha=65.09 beta=49.74 gamma=65.24
Site moments in Bohr magnetons follow the coordinates.
Positions (direct):
1 Mn 0.500 0.500 0.500  -0.77
2 Mn 0.028 0.765 0.646  1.32
3 Mn 0.761 0.642 0.563  1.37
4 Mn 0.558 0.035 0.766  1.36
5 Mn 0.442 0.965 0.234  1.36
6 Mn 0.972 0.235 0.354  1.32
7 Mn 0.239 0.358 0.437  1.37
8 Mn 0.172 0.824 0.175  -1.69
9 Mn 0.896 0.700 0.104  -1.17
10 Mn 0.702 0.105 0.298  -1.15
11 Mn 0.298 0.895 0.702  -1.15
12 Mn 0.828 0.176 0.825  -1.69
13 Mn 0.104 0.300 0.896  -1.17
14 Fe 0.641 0.561 0.033  1.28
15 Fe 0.359 0.439 0.967  1.28



<B>
Mn13Fe2: relaxed, PBE.

Unit cell a=4.753 b=6.590 c=6.958 alpha=125.21 beta=100.66 gamma=94.03
Site moments in Bohr magnetons follow the coordinates.
Positions (direct):
1 Mn 0.827 0.706 0.144  2.14
2 Mn 0.173 0.294 0.856  2.14
3 Mn 0.000 0.000 0.000  -1.13
4 Mn 0.278 0.912 0.500  -0.33
5 Mn 0.722 0.088 0.500  -0.33
6 Mn 0.973 0.516 0.684  0.66
7 Mn 0.027 0.484 0.316  0.66
8 Mn 0.467 0.473 0.281  -1.29
9 Mn 0.533 0.527 0.719  -1.29
10 Mn 0.366 0.859 0.789  0.91
11 Mn 0.634 0.141 0.211  0.91
12 Mn 0.675 0.251 0.905  -1.72
13 Mn 0.325 0.749 0.095  -1.72
14 Fe 0.809 0.822 0.595  1.31
15 Fe 0.191 0.178 0.405  1.31



Energy ordering: <A> at the bottom, the next structure 12.3 kJ/mol of atoms above.



<A>
MnFe2Mo: relaxed, PBE.

Unit cell a=2.601 b=3.532 c=5.348 alpha=90.00 beta=90.00 gamma=90.00
Site moments in Bohr magnetons follow the coordinates.
Positions (direct):
1 Fe 0.000 0.000 0.020  1.48
2 Fe 0.500 0.500 0.255  1.55
3 Mn 0.000 0.000 0.468  -1.56
4 Mo 0.500 0.500 0.756  -0.06



<B>
MnFe2Mo: relaxed, PBE.

Unit cell a=4.863 b=4.863 c=4.863 alpha=143.75 beta=131.29 gamma=62.20
Site moments in Bohr magnetons follow the coordinates.
Positions (direct):
1 Mo 0.750 0.250 0.500  -0.68
2 Mn 0.250 0.750 0.500  1.92
3 Fe 0.001 0.001 0.000  2.24
4 Fe 0.499 0.499 0.000  2.24



<C>
MnFe2Mo: relaxed, PBE.

Unit cell a=2.556 b=2.556 c=7.526 alpha=90.00 beta=90.00 gamma=90.00
Site moments in Bohr magnetons follow the coordinates.
Positions (direct):
1 Fe 0.000 0.000 0.025  1.64
2 Fe 0.000 0.000 0.475  1.64
3 Mn 0.500 0.500 0.250  -1.47
4 Mo 0.500 0.500 0.750  -0.01



<D>
MnFe2Mo: relaxed, PBE.

Unit cell a=4.040 b=4.040 c=3.052 alpha=90.00 beta=90.00 gamma=90.00
Site moments in Bohr magnetons follow the coordinates.
Positions (direct):
1 Fe 0.000 0.000 0.000  1.31
2 Fe 0.500 0.500 0.000  1.31
3 Mn 0.500 0.000 0.500  2.63
4 Mo 0.000 0.500 0.500  -0.46



Energy ordering: <B> at the bottom, the next structure 3.6 kJ/mol of atoms above.